The following is a PBE-GGA calculation of a relaxed LuBi3 crystal, from the Alexandria database.

```
data_LuBi3
_chemical_formula_sum 'Lu2 Bi6'
_cell_length_a 3.998
_cell_length_b 10.543
_cell_length_c 5.693
_cell_angle_alpha 90.00
_cell_angle_beta 90.00
_cell_angle_gamma 90.00
_space_group_name_H-M_alt 'I m m 2'
_space_group_IT_number 44
loop_
_space_group_symop_operation_xyz
'x,y,z'
'-x,-y,z'
'-x,y,z'
'x,-y,z'
'x+1/2,y+1/2,z+1/2'
'-x+1/2,-y+1/2,z+1/2'
'-x+1/2,y+1/2,z+1/2'
'x+1/2,-y+1/2,z+1/2'
loop_
_atom_site_label
_atom_site_type_symbol
_atom_site_fract_x
_atom_site_fract_y
_atom_site_fract_z
_atom_site_occupancy
Lu1 Lu 0.000 0.000 0.000 1
Bi1 Bi 0.000 0.267 0.668 1
Bi2 Bi 0.000 0.500 0.032 1
```

Crystal system = orthorhombic
Calculated formation energy = -0.23 eV per atom
Magnetization = 0.00 μB per formula unit
Energy above the most stable polymorph in this dataset = 56 meV per atom